Entry one
First-principles (GGA-PBE) data for a relaxed structure of Er2PuS4, as listed in the Alexandria database.

As for the density of states at the Fermi level: 1.7672 states/eV/atom. Its space-group type is No. 74.

abc: 8.0709 8.0642 8.0642
angles: 59.50 59.97 59.97
Closest atoms and distances in Å follow each position.
Fractional coordinates of all 14 atoms:
1 Er 0.1264 0.1236 0.6236  4 S 2.58-2.62
2 Er 0.5000 0.0000 0.0000  6 S 2.73-2.74
3 Er 0.5000 0.5000 0.5000  6 S 2.73-2.74
4 Er 0.8736 0.8764 0.3764  4 S 2.58-2.62
5 Pu 0.0000 0.5000 0.0000  6 S 2.80-2.83
6 Pu 0.5000 0.5000 0.0000  6 S 2.80-2.83
7 S 0.2616 0.2458 0.2309  2 Er 2.58-2.73, 2 Pu 2.80
8 S 0.2616 0.7309 0.7458  2 Er 2.58-2.73, 2 Pu 2.80
9 S 0.2646 0.2527 0.7527  3 Er 2.62-2.74, 1 Pu 2.83
10 S 0.7299 0.2527 0.7527  3 Er 2.62-2.74, 1 Pu 2.83
11 S 0.2701 0.7473 0.2473  3 Er 2.62-2.74, 1 Pu 2.83
12 S 0.7384 0.2691 0.2542  2 Er 2.58-2.73, 2 Pu 2.80
13 S 0.7354 0.7473 0.2473  3 Er 2.62-2.74, 1 Pu 2.83
14 S 0.7384 0.7542 0.7691  2 Er 2.58-2.73, 2 Pu 2.80

---

Entry two
First-principles (GGA-PBE) data for a relaxed structure of Er2PuS4, as listed in the Alexandria database.

As for the density of states at the Fermi level: 2.0985 states/eV/atom. Its space-group type is No. 63.

abc: 3.8546 6.6794 13.0390
angles: 90.00 90.00 106.77
Closest atoms and distances in Å follow each position.
Fractional coordinates of all 14 atoms:
1 Er 0.1329 0.2658 0.4322  6 S 2.66-2.74
2 Er 0.8671 0.7342 0.9322  6 S 2.66-2.74
3 Er 0.1329 0.2658 0.0678  6 S 2.66-2.74
4 Er 0.8671 0.7342 0.5678  6 S 2.66-2.74
5 Pu 0.6184 0.2368 0.7500  6 S 2.80-2.92
6 Pu 0.3816 0.7632 0.2500  6 S 2.80-2.92
7 S 0.7725 0.5449 0.1208  3 Er 2.72-2.74, 2 Pu 2.92
8 S 0.7725 0.5449 0.3792  3 Er 2.72-2.74, 2 Pu 2.92
9 S 0.2275 0.4551 0.8792  3 Er 2.72-2.74, 2 Pu 2.92
10 S 0.2275 0.4551 0.6208  3 Er 2.72-2.74, 2 Pu 2.92
11 S 0.9601 0.9201 0.7500  2 Er 2.66, 2 Pu 2.80
12 S 0.0399 0.0799 0.2500  2 Er 2.66, 2 Pu 2.80
13 S 0.5000 0.0000 0.0000  4 Er 2.72
14 S 0.5000 0.0000 0.5000  4 Er 2.72

---

Least stable structure: entry one

---

Entry one
First-principles (GGA-PBE) data for a relaxed structure of Er2PuSb, as listed in the Alexandria database.

As for the density of states at the Fermi level: 2.3902 states/eV/atom. Its space-group type is No. 166.

abc: 3.5188 3.5188 10.7529
angles: 80.58 80.58 60.00
Closest atoms and distances in Å follow each position.
Fractional coordinates of all 4 atoms:
1 Sb 0.0000 0.0000 0.0000  6 Er 3.21, 6 Sb 3.52
2 Er 0.2547 0.2547 0.2359  3 Sb 3.21, 3 Pu 3.45, 6 Er 3.52
3 Er 0.7453 0.7453 0.7641  3 Sb 3.21, 3 Pu 3.45, 6 Er 3.52
4 Pu 0.5000 0.5000 0.5000  6 Er 3.45, 6 Pu 3.52

---

Entry two
First-principles (GGA-PBE) data for a relaxed structure of Er2PuSb, as listed in the Alexandria database.

As for the density of states at the Fermi level: 2.6546 states/eV/atom. Its space-group type is No. 123.

abc: 4.5630 4.8167 4.8167
angles: 90.00 90.00 90.00
Closest atoms and distances in Å follow each position.
Fractional coordinates of all 4 atoms:
1 Sb 0.5000 0.0000 0.0000  8 Er 3.32, 4 Pu 3.41
2 Er 0.0000 0.0000 0.5000  4 Pu 3.32, 4 Sb 3.32, 4 Er 3.41
3 Er 0.0000 0.5000 0.0000  4 Pu 3.32, 4 Sb 3.32, 4 Er 3.41
4 Pu 0.5000 0.5000 0.5000  8 Er 3.32, 4 Sb 3.41

---

Least stable structure: entry one